*A*
{
  "formula": "Ca2TePd2",
  "functional": "GGA-PBE",
  "state": "optimized geometry",
  "cell": [[-0.350, 0.131, -3.891], [-0.564, -3.867, -0.079], [-8.451, -0.717, -1.227]],
  "species": ["Ca", "Ca", "Te", "Pd", "Pd"],
  "frac_coords": [[0.388, 0.388, 0.225], [0.612, 0.612, 0.775], [0.000, 0.000, 0.000], [0.750, 0.250, 0.500], [0.250, 0.750, 0.500]]
}

***

*B*
{
  "formula": "Ca2TePd2",
  "functional": "GGA-PBE",
  "state": "optimized geometry",
  "cell": [[7.519, 0.000, 0.000], [0.000, 7.519, 0.000], [0.000, 0.000, 4.113]],
  "species": ["Ca", "Ca", "Ca", "Ca", "Te", "Te", "Pd", "Pd", "Pd", "Pd"],
  "frac_coords": [[0.175, 0.675, 0.500], [0.675, 0.825, 0.500], [0.825, 0.325, 0.500], [0.325, 0.175, 0.500], [0.000, 0.000, 0.000], [0.500, 0.500, 0.000], [0.372, 0.872, 0.000], [0.872, 0.628, 0.000], [0.628, 0.128, 0.000], [0.128, 0.372, 0.000]]
}

***

*C*
{
  "formula": "Ca2TePd2",
  "functional": "GGA-PBE",
  "state": "optimized geometry",
  "cell": [[5.643, 0.000, 0.000], [0.000, 5.643, 0.000], [2.822, 2.822, 3.988]],
  "species": ["Ca", "Ca", "Te", "Pd", "Pd"],
  "frac_coords": [[0.750, 0.250, 0.500], [0.250, 0.750, 0.500], [0.000, 0.000, 0.000], [0.340, 0.340, 0.320], [0.660, 0.660, 0.680]]
}

***

Short version: *B*, *A*, *C*, most stable first.

***

*A*
{
  "formula": "CaTePd3",
  "functional": "GGA-PBE",
  "state": "optimized geometry",
  "cell": [[4.933, 0.000, 0.000], [0.000, 4.933, 0.000], [0.000, 0.000, 4.933]],
  "species": ["Ca", "Te", "Pd", "Pd", "Pd"],
  "frac_coords": [[0.000, 0.000, 0.000], [0.500, 0.500, 0.500], [0.000, 0.500, 0.000], [0.000, 0.000, 0.500], [0.500, 0.000, 0.000]]
}

***

*B*
{
  "formula": "CaTePd3",
  "functional": "GGA-PBE",
  "state": "optimized geometry",
  "cell": [[4.996, 0.000, 0.000], [0.000, 4.996, 0.000], [0.000, 0.000, 4.996]],
  "species": ["Ca", "Te", "Pd", "Pd", "Pd"],
  "frac_coords": [[0.500, 0.500, 0.500], [0.000, 0.000, 0.000], [0.000, 0.500, 0.000], [0.000, 0.000, 0.500], [0.500, 0.000, 0.000]]
}

***

Short version: *B*, *A*, most stable first.

***

*A*
{
  "formula": "CaTh2Pd7",
  "functional": "GGA-PBE",
  "state": "optimized geometry",
  "cell": [[-0.232, 5.016, -1.218], [-4.644, -2.258, -0.170], [1.188, 0.571, 8.962]],
  "species": ["Ca", "Th", "Th", "Pd", "Pd", "Pd", "Pd", "Pd", "Pd", "Pd"],
  "frac_coords": [[0.000, 0.000, 0.000], [0.667, 0.667, 0.333], [0.333, 0.333, 0.667], [0.084, 0.584, 0.168], [0.416, 0.916, 0.832], [0.584, 0.084, 0.168], [0.500, 0.500, 0.000], [0.750, 0.250, 0.500], [0.916, 0.416, 0.832], [0.250, 0.750, 0.500]]
}

***

*B*
{
  "formula": "CaTh2Pd7",
  "functional": "GGA-PBE",
  "state": "optimized geometry",
  "cell": [[-0.297, 3.950, 1.891], [-4.455, 2.193, -5.279], [-3.695, -3.464, 6.654]],
  "species": ["Ca", "Th", "Th", "Pd", "Pd", "Pd", "Pd", "Pd", "Pd", "Pd"],
  "frac_coords": [[0.000, 0.000, 0.000], [0.500, 0.692, 0.383], [0.500, 0.308, 0.617], [0.000, 0.809, 0.618], [0.000, 0.191, 0.382], [0.500, 0.712, 0.794], [0.500, 0.288, 0.206], [0.500, 0.918, 0.206], [0.500, 0.082, 0.794], [0.500, 0.500, 0.000]]
}

***

Short version: *A*, *B*, most stable first.